No. 1
Compound: TaRuAu
Source: Alexandria
Functional: SCAN
Structure: PBEsol geometry

Structure (extended XYZ):
```
3
Lattice="-1.651 2.260 -3.253 -4.179 -0.307 -0.923 -2.621 3.303 0.795" Properties=species:S:1:pos:R:3 pbc="T T T"
Au -2.113 1.314 -0.845
Ru 0.000 0.000 0.000
Ta -4.225 2.628 -1.690
```

Results
* energy: -56.198 eV/atom
* energy above the lowest structure with this stoichiometry: 957 meV/atom
* size of the total moment: 0.003 μB per cell
* space-group type: F-43m (216)

=====

No. 2
Compound: TlZnRe2
Source: Alexandria
Functional: SCAN
Structure: PBEsol geometry

Structure (extended XYZ):
```
4
Lattice="-3.098 0.228 0.993 -1.360 -0.339 -4.162 -0.188 -4.367 0.417" Properties=species:S:1:pos:R:3 pbc="T T T"
Re -0.094 -2.184 0.208
Re -0.680 -0.169 -2.081
Tl -2.322 -2.239 -1.376
Zn -1.549 0.114 0.497
```

Results
* energy: -55.814 eV/atom
* energy above the lowest structure with this stoichiometry: 355 meV/atom
* size of the total moment: 0.001 μB per cell
* space-group type: P4/mmm (123)

=====

No. 3
Compound: TaAl2Os
Source: Alexandria
Functional: SCAN
Structure: PBEsol geometry

Structure (extended XYZ):
```
4
Lattice="2.888 0.000 0.000 0.000 3.851 0.000 0.000 0.000 5.431" Properties=species:S:1:pos:R:3 pbc="T T T"
Os 1.444 1.926 0.000
Al 0.000 0.000 4.159
Al 0.000 0.000 1.273
Ta 1.444 1.926 2.716
```

Results
* energy: -38.731 eV/atom
* energy above the lowest structure with this stoichiometry: 258 meV/atom
* size of the total moment: 0.000 μB per cell
* space-group type: Pmmm (47)

=====

No. 4
Compound: CaTe2Mo
Source: Alexandria
Functional: SCAN
Structure: PBEsol geometry

Structure (extended XYZ):
```
8
Lattice="-5.275 -2.539 2.056 3.197 -4.817 2.254 1.798 7.028 3.929" Properties=species:S:1:pos:R:3 pbc="T T T"
Mo 1.978 -0.733 4.169
Mo 0.000 0.000 0.000
Te -3.310 -2.436 3.760
Te 1.612 -3.245 3.592
Te 0.257 0.361 5.787
Te 0.881 4.665 3.339
Ca -2.258 0.406 4.070
Ca -1.039 -3.678 2.155
```

Results
* energy: -29.894 eV/atom
* energy above the lowest structure with this stoichiometry: 405 meV/atom
* formation energy from raw total energies: -132 meV/atom
* size of the total moment: 0.003 μB per cell
* space-group type: I-42d (122)